No. 1
Cs2KMg2I7 after structural relaxation. Source: Alexandria, functional GGA-PBE.

Structure (CIF):
```
data_Cs2KMg2I7
_chemical_formula_sum 'Cs2 K1 Mg2 I7'
_cell_length_a 5.907
_cell_length_b 5.907
_cell_length_c 15.824
_cell_angle_alpha 100.72
_cell_angle_beta 100.72
_cell_angle_gamma 90.00
_space_group_name_H-M_alt 'P 1'
_space_group_IT_number 1
_space_group_name_Hall 'P 1'
loop_
_atom_site_label
_atom_site_fract_x
_atom_site_fract_y
_atom_site_fract_z
_atom_site_occupancy
Cs1 0.178 0.178 0.358 1
Cs2 0.822 0.822 0.642 1
K1 0.000 0.000 0.000 1
Mg1 0.399 0.399 0.804 1
Mg2 0.601 0.601 0.196 1
I1 0.092 0.591 0.182 1
I2 0.309 0.309 0.616 1
I3 0.409 0.908 0.818 1
I4 0.500 0.500 0.000 1
I5 0.591 0.092 0.182 1
I6 0.691 0.691 0.384 1
I7 0.908 0.409 0.818 1
```

calculated density: 3870 kg/m3
ΔE_f (raw): -120 kJ/mol of atoms
calculated volume: 532.8 Å³ per cell
symmetry: C2/m
crystal system: monoclinic
raw total energy: -31.77 eV/cell


No. 2
Cs2KMnI6 after structural relaxation. Source: Alexandria, functional GGA-PBE.

Structure (CIF):
```
data_Cs2KMnI6
_chemical_formula_sum 'Cs2 K1 Mn1 I6'
_cell_length_a 8.733
_cell_length_b 8.733
_cell_length_c 8.733
_cell_angle_alpha 60.00
_cell_angle_beta 60.00
_cell_angle_gamma 60.00
_space_group_name_H-M_alt 'P 1'
_space_group_IT_number 1
_space_group_name_Hall 'P 1'
loop_
_atom_site_label
_atom_site_fract_x
_atom_site_fract_y
_atom_site_fract_z
_atom_site_occupancy
Cs1 0.250 0.250 0.250 1
Cs2 0.750 0.750 0.750 1
K1 0.000 0.000 0.000 1
Mn1 0.500 0.500 0.500 1
I1 0.274 0.274 0.726 1
I2 0.274 0.726 0.274 1
I3 0.274 0.726 0.726 1
I4 0.726 0.274 0.274 1
I5 0.726 0.274 0.726 1
I6 0.726 0.726 0.274 1
```

offset from the most stable computed form: 27 meV per atom
calculated density: 3954 kg/m3
ΔE_f (raw): -98 kJ/mol of atoms
calculated volume: 471.0 Å³ per cell
symmetry: Fm-3m
crystal system: cubic
raw total energy: -31.41 eV/cell


No. 3
CsKMn2I6 after structural relaxation. Source: Alexandria, functional GGA-PBE.

Structure (CIF):
```
data_CsKMn2I6
_chemical_formula_sum 'Cs2 K2 Mn4 I12'
_cell_length_a 10.997
_cell_length_b 10.997
_cell_length_c 8.519
_cell_angle_alpha 101.21
_cell_angle_beta 101.21
_cell_angle_gamma 85.71
_space_group_name_H-M_alt 'P 1'
_space_group_IT_number 1
_space_group_name_Hall 'P 1'
loop_
_atom_site_label
_atom_site_fract_x
_atom_site_fract_y
_atom_site_fract_z
_atom_site_occupancy
Cs1 0.181 0.819 0.750 1
Cs2 0.819 0.181 0.250 1
K1 0.397 0.603 0.250 1
K2 0.603 0.397 0.750 1
Mn1 0.127 0.301 0.756 1
Mn2 0.301 0.127 0.256 1
Mn3 0.699 0.873 0.744 1
Mn4 0.873 0.699 0.244 1
I1 0.096 0.600 0.333 1
I2 0.111 0.174 0.004 1
I3 0.174 0.111 0.504 1
I4 0.298 0.472 0.834 1
I5 0.400 0.904 0.167 1
I6 0.472 0.298 0.334 1
I7 0.528 0.702 0.666 1
I8 0.600 0.096 0.833 1
I9 0.702 0.528 0.166 1
I10 0.826 0.889 0.496 1
I11 0.889 0.826 0.996 1
I12 0.904 0.400 0.667 1
```

calculated density: 3498 kg/m3
ΔE_f (raw): -84 kJ/mol of atoms
calculated volume: 990.5 Å³ per cell
symmetry: C2/c
crystal system: monoclinic
raw total energy: -76.68 eV/cell